Computed, not measured: a geometry-optimized HoMgPt structure at the PBE level of DFT.

The energy of formation comes out at -2.3 eV/f.u. The total energy is -4.834 eV/atom.

The space group is I4mm (No. 107) and the conventional cell measures 3.4960, 3.4960 and 10.5260 Å, with angles of 90.00, 90.00 and 90.00 degrees. The asymmetric unit holds Ho at (0.0000, 0.0000, 0.0000), Mg at (0.0000, 0.0000, 0.7149) and Pt at (0.0000, 0.0000, 0.3520).

***

Computed, not measured: a geometry-optimized HoMg3Pt structure at the PBE level of DFT.

The energy of formation comes out at -2.7 eV/f.u. The total energy is -3.630 eV/atom.

The space group is P2_1/m (No. 11) and the conventional cell measures 5.4329, 5.7881 and 7.4006 Å, with angles of 90.00, 107.17 and 90.00 degrees. The asymmetric unit holds Ho at (0.1130, 0.2500, 0.3997), Mg at (0.0236, 0.2500, 0.9002), Mg at (0.4899, 0.5010, 0.7941) and Pt at (0.3181, 0.7500, 0.4624).

***

Copy entry 2 word for word.
Computed, not measured: a geometry-optimized HoMg3Pt structure at the PBE level of DFT.

The energy of formation comes out at -2.7 eV/f.u. The total energy is -3.630 eV/atom.

The space group is P2_1/m (No. 11) and the conventional cell measures 5.4329, 5.7881 and 7.4006 Å, with angles of 90.00, 107.17 and 90.00 degrees. The asymmetric unit holds Ho at (0.1130, 0.2500, 0.3997), Mg at (0.0236, 0.2500, 0.9002), Mg at (0.4899, 0.5010, 0.7941) and Pt at (0.3181, 0.7500, 0.4624).

***

Look up the energy of formation of the second one.
-2.7 eV/f.u.

***

The highest energy of formation belongs to which entry?
HoMgPt